(1)
A geometry-optimized In2BiSe structure, computed with PBE.

Output
Symmetry: I-42d (122)
Volume, Å³/cell: 303.5
Energy relative to the elements, uncorrected, eV/atom: -0.141
Energy relative to the lowest polymorph listed for this composition, meV/atom: 57

Cell lengths 6.680, 6.680, 8.282 Å; angles 66.22, 66.22, 90.00 degrees
Atoms (fractional coordinates):
1 Bi 0.750 0.250 0.500
2 Bi 0.000 0.000 0.000
3 Se 0.500 0.500 0.000
4 Se 0.250 0.750 0.500
5 In 0.144 0.625 0.250
6 In 0.606 0.125 0.250
7 In 0.875 0.856 0.750
8 In 0.375 0.394 0.750

***

(2)
A geometry-optimized InBiSe3 structure, computed with PBE.

Output
Symmetry: R3m (160)
Volume, Å³/cell: 147.6
Energy relative to the elements, uncorrected, eV/atom: -0.440
Energy relative to the lowest polymorph listed for this composition, meV/atom: 0

Cell lengths 10.401, 10.401, 10.401 Å; angles 22.75, 22.75, 22.75 degrees
Atoms (fractional coordinates):
1 Bi 0.605 0.605 0.605
2 Se 0.774 0.774 0.774
3 Se 0.219 0.219 0.219
4 Se 0.005 0.005 0.005
5 In 0.397 0.397 0.397

***

(3)
A geometry-optimized In2BiSe structure, computed with PBE.

Output
Symmetry: Fm-3m (225)
Volume, Å³/cell: 109.1
Energy relative to the elements, uncorrected, eV/atom: 0.009
Energy relative to the lowest polymorph listed for this composition, meV/atom: 208

Cell lengths 5.363, 5.363, 5.363 Å; angles 60.00, 60.00, 60.00 degrees
Atoms (fractional coordinates):
1 In 0.250 0.250 0.250
2 In 0.750 0.750 0.750
3 Bi 0.500 0.500 0.500
4 Se 0.000 0.000 0.000

***

(4)
A geometry-optimized InBi2Se2 structure, computed with PBE.

Output
Symmetry: P4/mbm (127)
Volume, Å³/cell: 302.5
Energy relative to the elements, uncorrected, eV/atom: -0.085
Energy relative to the lowest polymorph listed for this composition, meV/atom: 16

Cell lengths 8.700, 8.700, 3.997 Å; angles 90.00, 90.00, 90.00 degrees
Atoms (fractional coordinates):
1 Se 0.152 0.652 0.500
2 Se 0.348 0.152 0.500
3 Se 0.652 0.848 0.500
4 Se 0.848 0.348 0.500
5 In 0.500 0.500 0.000
6 In 0.000 0.000 0.000
7 Bi 0.686 0.186 0.000
8 Bi 0.814 0.686 0.000
9 Bi 0.314 0.814 0.000
10 Bi 0.186 0.314 0.000

***

(5)
A geometry-optimized In2Bi2Se structure, computed with PBE.

Output
Symmetry: P4/mbm (127)
Volume, Å³/cell: 306.5
Energy relative to the elements, uncorrected, eV/atom: 0.132
Energy relative to the lowest polymorph listed for this composition, meV/atom: 91

Cell lengths 7.857, 7.857, 4.965 Å; angles 90.00, 90.00, 90.00 degrees
Atoms (fractional coordinates):
1 Se 0.000 0.000 0.000
2 Se 0.500 0.500 0.000
3 In 0.168 0.332 0.000
4 In 0.668 0.168 0.000
5 In 0.332 0.832 0.000
6 In 0.832 0.668 0.000
7 Bi 0.366 0.134 0.500
8 Bi 0.134 0.634 0.500
9 Bi 0.634 0.866 0.500
10 Bi 0.866 0.366 0.500

***

(6)
A geometry-optimized InBi2Se2 structure, computed with PBE.

Output
Symmetry: I4/mmm (139)
Volume, Å³/cell: 163.5
Energy relative to the elements, uncorrected, eV/atom: -0.101
Energy relative to the lowest polymorph listed for this composition, meV/atom: 0

Cell lengths 5.793, 5.793, 6.365 Å; angles 62.93, 62.93, 90.00 degrees
Atoms (fractional coordinates):
1 Bi 0.327 0.327 0.345
2 Bi 0.673 0.673 0.655
3 In 0.000 0.000 0.000
4 Se 0.250 0.750 0.500
5 Se 0.750 0.250 0.500